Here is a relaxed structure of DyInHg2 from the Alexandria database. Energies are from PBE-GGA.

Values from the calculation:
**V**: 100.1 Å³/cell
**Calculated total energy**: -9.05 eV/cell

Structure (CIF):
```
data_DyInHg2
_space_group_name_H-M_alt 'P 4/m m m'
_space_group_IT_number 123
_space_group_name_Hall '-P 4 2'
_cell_length_a 3.710
_cell_length_b 3.710
_cell_length_c 7.276
_cell_angle_alpha 90.00
_cell_angle_beta 90.00
_cell_angle_gamma 90.00
loop_
_atom_site_label
_atom_site_type_symbol
_atom_site_fract_x
_atom_site_fract_y
_atom_site_fract_z
Dy1 Dy 0.000 0.000 0.000
In1 In 0.000 0.000 0.500
Hg1 Hg 0.500 0.500 0.251
```